A geometry-optimized KV2Pd structure. Source: the Alexandria database, functional PBE.

Values from the calculation:
V = 19.90 Å³ per atom
total magnetization = 6.694 μB per formula unit
Fermi-level density of states = 7.90 states/eV/f.u.
E above lowest polymorph = 0 meV per atom
ΔH_f (0 K) = 1.157 eV per atom
space-group type = Fm-3m (225)

Lattice parameters (Å, degrees): 4.828 4.828 4.828 60.00 60.00 60.00
Atoms (fractional coordinates):
K: 0.000 0.000 0.000
V: 0.250 0.250 0.250
V: 0.750 0.750 0.750
Pd: 0.500 0.500 0.500

A geometry-optimized KVPd3 structure. Source: the Alexandria database, functional PBE.

Values from the calculation:
V = 22.13 Å³ per atom
total magnetization = 1.487 μB per formula unit
Fermi-level density of states = 4.91 states/eV/f.u.
E above lowest polymorph = 0 meV per atom
ΔH_f (0 K) = 0.429 eV per atom
space-group type = Pm-3m (221)

Lattice parameters (Å, degrees): 4.801 4.801 4.801 90.00 90.00 90.00
Atoms (fractional coordinates):
K: 0.000 0.000 0.000
V: 0.500 0.500 0.500
Pd: 0.000 0.500 0.500
Pd: 0.500 0.000 0.500
Pd: 0.500 0.500 0.000

A geometry-optimized K3VPd structure. Source: the Alexandria database, functional PBE.

Values from the calculation:
V = 47.18 Å³ per atom
total magnetization = 4.002 μB per formula unit
Fermi-level density of states = 12.93 states/eV/f.u.
E above lowest polymorph = 0 meV per atom
ΔH_f (0 K) = 0.863 eV per atom
space-group type = Pm-3m (221)

Lattice parameters (Å, degrees): 6.179 6.179 6.179 90.00 90.00 90.00
Atoms (fractional coordinates):
K: 0.000 0.000 0.500
K: 0.000 0.500 0.000
K: 0.500 0.000 0.000
V: 0.500 0.500 0.500
Pd: 0.000 0.000 0.000

A geometry-optimized KPdW3 structure. Source: the Alexandria database, functional PBE.

Values from the calculation:
V = 23.58 Å³ per atom
total magnetization = 1.794 μB per formula unit
Fermi-level density of states = 6.05 states/eV/f.u.
E above lowest polymorph = 0 meV per atom
ΔH_f (0 K) = 2.521 eV per atom
space-group type = Pm-3m (221)

Lattice parameters (Å, degrees): 4.903 4.903 4.903 90.00 90.00 90.00
Atoms (fractional coordinates):
K: 0.000 0.000 0.000
Pd: 0.500 0.500 0.500
W: 0.000 0.500 0.500
W: 0.500 0.000 0.500
W: 0.500 0.500 0.000

A geometry-optimized K2PdW structure. Source: the Alexandria database, functional PBE.

Values from the calculation:
V = 30.30 Å³ per atom
total magnetization = 4.568 μB per formula unit
Fermi-level density of states = 1.94 states/eV/f.u.
E above lowest polymorph = 373 meV per atom
ΔH_f (0 K) = 1.667 eV per atom
space-group type = Fm-3m (225)

Lattice parameters (Å, degrees): 5.555 5.555 5.555 60.00 60.00 60.00
Atoms (fractional coordinates):
K: 0.250 0.250 0.250
K: 0.750 0.750 0.750
Pd: 0.000 0.000 0.000
W: 0.500 0.500 0.500

A geometry-optimized KPdW2 structure. Source: the Alexandria database, functional PBE.

Values from the calculation:
V = 20.39 Å³ per atom
total magnetization = 0.000 μB per formula unit
Fermi-level density of states = 3.51 states/eV/f.u.
E above lowest polymorph = 0 meV per atom
ΔH_f (0 K) = 1.489 eV per atom
space-group type = I-42d (122)

Lattice parameters (Å, degrees): 11.052 11.052 11.052 159.65 159.65 28.93
Atoms (fractional coordinates):
K: 0.000 0.000 0.000
K: 0.750 0.250 0.500
Pd: 0.250 0.750 0.500
Pd: 0.500 0.500 0.000
W: 0.175 0.625 0.050
W: 0.375 0.425 0.550
W: 0.575 0.125 0.950
W: 0.875 0.825 0.450

A geometry-optimized KPdW3 structure. Source: the Alexandria database, functional PBE.

Values from the calculation:
V = 17.83 Å³ per atom
total magnetization = 0.000 μB per formula unit
Fermi-level density of states = 3.34 states/eV/f.u.
E above lowest polymorph = 1002 meV per atom
ΔH_f (0 K) = 3.523 eV per atom
space-group type = Pm-3m (221)

Lattice parameters (Å, degrees): 4.467 4.467 4.467 90.00 90.00 90.00
Atoms (fractional coordinates):
K: 0.000 0.000 0.000
Pd: 0.500 0.500 0.500
W: 0.000 0.000 0.500
W: 0.000 0.500 0.000
W: 0.500 0.000 0.000

A geometry-optimized KPd3W structure. Source: the Alexandria database, functional PBE.

Values from the calculation:
V = 21.34 Å³ per atom
total magnetization = 0.000 μB per formula unit
Fermi-level density of states = 17.46 states/eV/f.u.
E above lowest polymorph = 1569 meV per atom
ΔH_f (0 K) = 2.334 eV per atom
space-group type = Pm-3m (221)

Lattice parameters (Å, degrees): 4.743 4.743 4.743 90.00 90.00 90.00
Atoms (fractional coordinates):
K: 0.000 0.000 0.000
Pd: 0.000 0.000 0.500
Pd: 0.000 0.500 0.000
Pd: 0.500 0.000 0.000
W: 0.500 0.500 0.500

A geometry-optimized KPdW2 structure. Source: the Alexandria database, functional PBE.

Values from the calculation:
V = 17.43 Å³ per atom
total magnetization = 0.000 μB per formula unit
Fermi-level density of states = 5.10 states/eV/f.u.
E above lowest polymorph = 392 meV per atom
ΔH_f (0 K) = 1.881 eV per atom
space-group type = Fm-3m (225)

Lattice parameters (Å, degrees): 4.619 4.619 4.619 60.00 60.00 60.00
Atoms (fractional coordinates):
K: 0.000 0.000 0.000
Pd: 0.500 0.500 0.500
W: 0.250 0.250 0.250
W: 0.750 0.750 0.750

A geometry-optimized K2PdW structure. Source: the Alexandria database, functional PBE.

Values from the calculation:
V = 45.61 Å³ per atom
total magnetization = 3.898 μB per formula unit
Fermi-level density of states = 3.70 states/eV/f.u.
E above lowest polymorph = 0 meV per atom
ΔH_f (0 K) = 1.294 eV per atom
space-group type = I-42d (122)

Lattice parameters (Å, degrees): 8.946 8.946 8.946 94.36 94.36 147.98
Atoms (fractional coordinates):
K: 0.375 0.045 0.170
K: 0.795 0.625 0.670
K: 0.875 0.205 0.830
K: 0.955 0.125 0.330
Pd: 0.000 0.000 0.000
Pd: 0.750 0.250 0.500
W: 0.250 0.750 0.500
W: 0.500 0.500 0.000

A geometry-optimized KPd3W structure. Source: the Alexandria database, functional PBE.

Values from the calculation:
V = 24.26 Å³ per atom
total magnetization = 0.000 μB per formula unit
Fermi-level density of states = 5.01 states/eV/f.u.
E above lowest polymorph = 0 meV per atom
ΔH_f (0 K) = 0.765 eV per atom
space-group type = Pm-3m (221)

Lattice parameters (Å, degrees): 4.950 4.950 4.950 90.00 90.00 90.00
Atoms (fractional coordinates):
K: 0.000 0.000 0.000
Pd: 0.000 0.500 0.500
Pd: 0.500 0.000 0.500
Pd: 0.500 0.500 0.000
W: 0.500 0.500 0.500

A geometry-optimized KZrPd2W structure. Source: the Alexandria database, functional PBE.

Values from the calculation:
V = 25.28 Å³ per atom
total magnetization = 0.000 μB per formula unit
Fermi-level density of states = 3.50 states/eV/f.u.
ΔH_f (0 K) = 0.754 eV per atom
space-group type = P4/mmm (123)

Lattice parameters (Å, degrees): 5.052 5.052 4.952 90.00 90.00 90.00
Atoms (fractional coordinates):
K: 0.000 0.000 0.000
Zr: 0.500 0.500 0.000
Pd: 0.000 0.500 0.500
Pd: 0.500 0.000 0.500
W: 0.500 0.500 0.500

A geometry-optimized KY3Pd structure. Source: the Alexandria database, functional PBE.

Values from the calculation:
V = 28.00 Å³ per atom
total magnetization = 0.000 μB per formula unit
Fermi-level density of states = 3.81 states/eV/f.u.
E above lowest polymorph = 1356 meV per atom
ΔH_f (0 K) = 1.332 eV per atom
space-group type = Pm-3m (221)

Lattice parameters (Å, degrees): 5.192 5.192 5.192 90.00 90.00 90.00
Atoms (fractional coordinates):
K: 0.000 0.000 0.000
Y: 0.000 0.000 0.500
Y: 0.000 0.500 0.000
Y: 0.500 0.000 0.000
Pd: 0.500 0.500 0.500

A geometry-optimized KY2Pd2 structure. Source: the Alexandria database, functional PBE.

Values from the calculation:
V = 32.03 Å³ per atom
total magnetization = 0.939 μB per formula unit
Fermi-level density of states = 2.51 states/eV/f.u.
ΔH_f (0 K) = -0.197 eV per atom
space-group type = I4/mmm (139)

Lattice parameters (Å, degrees): 7.018 7.018 7.018 136.77 136.77 62.79
Atoms (fractional coordinates):
K: 0.000 0.000 0.000
Y: 0.340 0.340 0.000
Y: 0.660 0.660 0.000
Pd: 0.250 0.750 0.500
Pd: 0.750 0.250 0.500